(1)
This record from Alexandria describes a relaxed Y8Ho6Tm crystal. The functional is PBE.

CIF file:
```
data_Y8Ho6Tm
_chemical_formula_sum 'Y8 Ho6 Tm1'
_cell_length_a 9.3358
_cell_length_b 9.3358
_cell_length_c 6.5895
_cell_angle_alpha 90.00
_cell_angle_beta 90.00
_cell_angle_gamma 120.00
_space_group_name_H-M_alt 'P -3'
_space_group_IT_number 147
_space_group_name_Hall '-P 3'
loop_
_atom_site_label
_atom_site_type_symbol
_atom_site_fract_x
_atom_site_fract_y
_atom_site_fract_z
Y1 Y 0.0243 0.6914 0.1066
Y2 Y 0.3333 0.6667 0.8225
Ho1 Ho 0.0848 0.4071 0.4032
Tm1 Tm 0.0000 0.0000 0.5000
```

The value obtained for the total energy is -5.324 eV/atom. Its energy of formation is 252 meV/atom. The energy above the most stable polymorph in this dataset is 122 meV/atom.


(2)
This record from Alexandria describes a relaxed TmPaS2N crystal. The functional is PBE.

CIF file:
```
data_TmPaS2N
_chemical_formula_sum 'Tm2 Pa2 S4 N2'
_cell_length_a 3.804
_cell_length_b 3.804
_cell_length_c 13.288
_cell_angle_alpha 90.00
_cell_angle_beta 90.00
_cell_angle_gamma 90.00
_space_group_name_H-M_alt 'P 4/n m m'
_space_group_IT_number 129
loop_
_space_group_symop_operation_xyz
'x,y,z'
'-x,-y,-z'
'-y+1/2,x,z'
'y+1/2,-x,-z'
'-x+1/2,-y+1/2,z'
'x+1/2,y+1/2,-z'
'y,-x+1/2,z'
'-y,x+1/2,-z'
'x+1/2,-y,-z'
'-x+1/2,y,z'
'-y,-x,-z'
'y,x,z'
'-x,y+1/2,-z'
'x,-y+1/2,z'
'y+1/2,x+1/2,-z'
'-y+1/2,-x+1/2,z'
loop_
_atom_site_label
_atom_site_type_symbol
_atom_site_fract_x
_atom_site_fract_y
_atom_site_fract_z
Tm1 Tm 0.250 0.250 0.103
Pa1 Pa 0.250 0.250 0.594
S1 S 0.250 0.250 0.306
S2 S 0.250 0.250 0.894
N1 N 0.250 0.750 0.500
```

The value obtained for the total energy is -8.045 eV/atom. The calculation puts the raw formation energy at -1935 meV per atom.


(3)
This record from Alexandria describes a relaxed Ga12Hg5Te3 crystal. The functional is PBE.

CIF file:
```
data_Ga12Hg5Te3
_chemical_formula_sum 'Ga96 Hg40 Te24'
_cell_length_a 16.661
_cell_length_b 16.661
_cell_length_c 16.661
_cell_angle_alpha 90.00
_cell_angle_beta 90.00
_cell_angle_gamma 90.00
_space_group_name_H-M_alt 'I a -3 d'
_space_group_IT_number 230
_space_group_name_Hall '-I 4bd 2c 3'
loop_
_atom_site_label
_atom_site_type_symbol
_atom_site_fract_x
_atom_site_fract_y
_atom_site_fract_z
Ga1 Ga 0.009 0.069 0.653
Hg1 Hg 0.000 0.000 0.000
Hg2 Hg 0.000 0.250 0.375
Te1 Te 0.000 0.250 0.125
```

The value obtained for the total energy is -2.225 eV/atom. The calculation puts the raw formation energy at 138 meV per atom.


| no. | M_tot (μB per formula unit) |
| --- | --- |
| 1 | 0.0 |
| 2 | 0.1 |
| 3 | 0.0 |